Record 1
A plane-wave DFT calculation with PBE-GGA was carried out for a relaxed LiOsBr crystal. Values from VASP.

```
&SYSTEM
  ibrav = 0, nat = 3, ntyp = 3
/
ATOMIC_SPECIES
Li 6.94 Li.upf
Os 190.23 Os.upf
Br 79.90 Br.upf
CELL_PARAMETERS angstrom
2.995 0.000 0.000
-1.497 2.594 0.000
0.000 0.000 6.301
ATOMIC_POSITIONS angstrom
Li 0.000 0.000 0.000
Os 1.497 0.865 2.100
Br 0.000 1.729 4.158
```

Output
SG = No. 156
Magnetic moment = 0.0 μB per cell
ΔE to the lowest computed polymorph = 0.0000 eV/atom

=====

Record 2
A plane-wave DFT calculation with PBE-GGA was carried out for a relaxed Li3OsBr crystal. Values from VASP.

```
&SYSTEM
  ibrav = 0, nat = 5, ntyp = 3
/
ATOMIC_SPECIES
Li 6.94 Li.upf
Os 190.23 Os.upf
Br 79.90 Br.upf
CELL_PARAMETERS angstrom
4.984 0.000 0.000
0.000 4.984 0.000
0.000 0.000 4.984
ATOMIC_POSITIONS angstrom
Li 0.000 0.000 2.492
Li 0.000 2.492 0.000
Li 2.492 0.000 0.000
Os 0.000 0.000 0.000
Br 2.492 2.492 2.492
```

Output
SG = No. 221
Magnetic moment = 2.0 μB per cell
ΔE to the lowest computed polymorph = 0.0777 eV/atom

=====

Record 3
A plane-wave DFT calculation with PBE-GGA was carried out for a relaxed LiOsBr crystal. Values from VASP.

```
&SYSTEM
  ibrav = 0, nat = 3, ntyp = 3
/
ATOMIC_SPECIES
Li 6.94 Li.upf
Os 190.23 Os.upf
Br 79.90 Br.upf
CELL_PARAMETERS angstrom
4.361 0.000 0.000
-2.181 3.777 0.000
0.000 0.000 2.957
ATOMIC_POSITIONS angstrom
Li 0.000 0.000 0.000
Os 2.181 1.259 1.479
Br 0.000 2.518 1.479
```

Output
SG = No. 187
Magnetic moment = 0.0 μB per cell
ΔE to the lowest computed polymorph = 0.0623 eV/atom

=====

Record 4
A plane-wave DFT calculation with PBE-GGA was carried out for a relaxed LiOs3Br crystal. Values from VASP.

```
&SYSTEM
  ibrav = 0, nat = 5, ntyp = 3
/
ATOMIC_SPECIES
Li 6.94 Li.upf
Os 190.23 Os.upf
Br 79.90 Br.upf
CELL_PARAMETERS angstrom
4.563 0.000 0.000
0.000 4.563 0.000
0.000 0.000 4.563
ATOMIC_POSITIONS angstrom
Li 0.000 0.000 0.000
Os 0.000 2.281 2.281
Os 2.281 0.000 2.281
Os 2.281 2.281 0.000
Br 2.281 2.281 2.281
```

Output
SG = No. 221
Magnetic moment = 0.7 μB per cell
ΔE to the lowest computed polymorph = 0.0698 eV/atom

=====

Record 5
A plane-wave DFT calculation with PBE-GGA was carried out for a relaxed LiOsBr6 crystal. Values from VASP.

```
&SYSTEM
  ibrav = 0, nat = 8, ntyp = 3
/
ATOMIC_SPECIES
Li 6.94 Li.upf
Os 190.23 Os.upf
Br 79.90 Br.upf
CELL_PARAMETERS angstrom
3.603 -5.998 0.000
3.603 5.998 0.000
-3.348 0.000 6.260
ATOMIC_POSITIONS angstrom
Li 0.000 0.000 0.000
Os 1.929 0.000 3.130
Br 1.032 1.776 1.605
Br -0.187 0.000 4.372
Br 1.032 -1.776 1.605
Br 2.826 1.776 4.655
Br 4.044 0.000 1.888
Br 2.826 -1.776 4.655
```

Output
SG = No. 12
Magnetic moment = 3.0 μB per cell
ΔE to the lowest computed polymorph = 0.0000 eV/atom

=====

Record 6
A plane-wave DFT calculation with PBE-GGA was carried out for a relaxed LiOsBr crystal. Values from VASP.

```
&SYSTEM
  ibrav = 0, nat = 3, ntyp = 3
/
ATOMIC_SPECIES
Li 6.94 Li.upf
Os 190.23 Os.upf
Br 79.90 Br.upf
CELL_PARAMETERS angstrom
0.000 2.993 2.993
2.993 0.000 2.993
2.993 2.993 0.000
ATOMIC_POSITIONS angstrom
Li 0.000 0.000 0.000
Os 1.496 1.496 1.496
Br 2.993 2.993 2.993
```

Output
SG = No. 216
Magnetic moment = 0.9 μB per cell
ΔE to the lowest computed polymorph = 0.4792 eV/atom

=====

Record 7
A plane-wave DFT calculation with PBE-GGA was carried out for a relaxed LiOsBr crystal. Values from VASP.

```
&SYSTEM
  ibrav = 0, nat = 3, ntyp = 3
/
ATOMIC_SPECIES
Li 6.94 Li.upf
Os 190.23 Os.upf
Br 79.90 Br.upf
CELL_PARAMETERS angstrom
0.000 2.915 2.915
2.915 0.000 2.915
2.915 2.915 0.000
ATOMIC_POSITIONS angstrom
Li 0.000 0.000 0.000
Os 1.458 1.458 1.458
Br 4.373 4.373 4.373
```

Output
SG = No. 216
Magnetic moment = 0.6 μB per cell
ΔE to the lowest computed polymorph = 0.6992 eV/atom

=====

Record 8
A plane-wave DFT calculation with PBE-GGA was carried out for a relaxed Li2OsBr6 crystal. Values from VASP.

```
&SYSTEM
  ibrav = 0, nat = 9, ntyp = 3
/
ATOMIC_SPECIES
Li 6.94 Li.upf
Os 190.23 Os.upf
Br 79.90 Br.upf
CELL_PARAMETERS angstrom
7.874 -1.939 0.000
7.874 1.939 0.000
-2.653 0.000 8.657
ATOMIC_POSITIONS angstrom
Li 2.168 0.000 3.226
Li 10.927 0.000 5.432
Os 7.874 0.000 0.000
Br 1.654 0.000 0.101
Br 1.513 0.000 5.670
Br 5.379 0.000 6.218
Br 7.717 0.000 2.439
Br 11.582 0.000 2.987
Br 11.441 0.000 8.556
```

Output
SG = No. 12
Magnetic moment = 2.0 μB per cell

=====

Record 9
A plane-wave DFT calculation with PBE-GGA was carried out for a relaxed Li2OsBr2 crystal. Values from VASP.

```
&SYSTEM
  ibrav = 0, nat = 10, ntyp = 3
/
ATOMIC_SPECIES
Li 6.94 Li.upf
Os 190.23 Os.upf
Br 79.90 Br.upf
CELL_PARAMETERS angstrom
7.582 0.000 0.000
0.000 7.582 0.000
0.000 0.000 3.278
ATOMIC_POSITIONS angstrom
Li 1.114 2.677 0.000
Li 2.677 6.468 0.000
Li 4.905 1.114 0.000
Li 6.468 4.905 0.000
Os 0.000 0.000 0.000
Os 3.791 3.791 0.000
Br 1.254 5.045 1.639
Br 2.537 1.254 1.639
Br 5.045 6.328 1.639
Br 6.328 2.537 1.639
```

Output
SG = No. 127
Magnetic moment = 5.4 μB per cell
ΔE to the lowest computed polymorph = 0.0000 eV/atom

=====

Record 10
A plane-wave DFT calculation with PBE-GGA was carried out for a relaxed LiOs3Br crystal. Values from VASP.

```
&SYSTEM
  ibrav = 0, nat = 5, ntyp = 3
/
ATOMIC_SPECIES
Li 6.94 Li.upf
Os 190.23 Os.upf
Br 79.90 Br.upf
CELL_PARAMETERS angstrom
4.225 0.000 0.000
0.000 4.225 0.000
0.000 0.000 4.225
ATOMIC_POSITIONS angstrom
Li 0.000 0.000 0.000
Os 0.000 0.000 2.112
Os 0.000 2.112 0.000
Os 2.112 0.000 0.000
Br 2.112 2.112 2.112
```

Output
SG = No. 221
Magnetic moment = 0.0 μB per cell
ΔE to the lowest computed polymorph = 0.0000 eV/atom

=====

Record 11
A plane-wave DFT calculation with PBE-GGA was carried out for a relaxed Li2OsBr2 crystal. Values from VASP.

```
&SYSTEM
  ibrav = 0, nat = 5, ntyp = 3
/
ATOMIC_SPECIES
Li 6.94 Li.upf
Os 190.23 Os.upf
Br 79.90 Br.upf
CELL_PARAMETERS angstrom
-2.604 2.604 4.638
2.604 -2.604 4.638
2.604 2.604 -4.638
ATOMIC_POSITIONS angstrom
Li 0.000 0.000 1.910
Li 0.000 0.000 7.366
Os 0.000 0.000 4.638
Br 2.604 0.000 2.319
Br 0.000 2.604 2.319
```

Output
SG = No. 139
Magnetic moment = 4.0 μB per cell
ΔE to the lowest computed polymorph = 0.1463 eV/atom

=====

Record 12
A plane-wave DFT calculation with PBE-GGA was carried out for a relaxed LiOsBr crystal. Values from VASP.

```
&SYSTEM
  ibrav = 0, nat = 3, ntyp = 3
/
ATOMIC_SPECIES
Li 6.94 Li.upf
Os 190.23 Os.upf
Br 79.90 Br.upf
CELL_PARAMETERS angstrom
-1.508 1.508 5.788
1.508 -1.508 5.788
1.508 1.508 -5.788
ATOMIC_POSITIONS angstrom
Li 0.000 0.000 0.000
Os 0.000 0.000 7.540
Br 0.000 0.000 3.351
```

Output
SG = No. 107
Magnetic moment = 0.0 μB per cell
ΔE to the lowest computed polymorph = 0.1154 eV/atom

=====

Record 13
A plane-wave DFT calculation with PBE-GGA was carried out for a relaxed Li3OsBr crystal. Values from VASP.

```
&SYSTEM
  ibrav = 0, nat = 5, ntyp = 3
/
ATOMIC_SPECIES
Li 6.94 Li.upf
Os 190.23 Os.upf
Br 79.90 Br.upf
CELL_PARAMETERS angstrom
4.645 0.000 0.000
0.000 4.645 0.000
0.000 0.000 4.645
ATOMIC_POSITIONS angstrom
Li 0.000 0.000 2.322
Li 0.000 2.322 0.000
Li 2.322 0.000 0.000
Os 2.322 2.322 2.322
Br 0.000 0.000 0.000
```

Output
SG = No. 221
Magnetic moment = 2.0 μB per cell
ΔE to the lowest computed polymorph = 0.0000 eV/atom

=====

Record 14
A plane-wave DFT calculation with PBE-GGA was carried out for a relaxed LiOsBr6 crystal. Values from VASP.

```
&SYSTEM
  ibrav = 0, nat = 8, ntyp = 3
/
ATOMIC_SPECIES
Li 6.94 Li.upf
Os 190.23 Os.upf
Br 79.90 Br.upf
CELL_PARAMETERS angstrom
3.312 1.912 5.947
-3.312 1.912 5.947
0.000 -3.824 5.947
ATOMIC_POSITIONS angstrom
Li 0.000 0.000 0.000
Os 0.000 0.000 8.921
Br -1.050 -1.751 7.497
Br -2.041 0.034 10.344
Br -0.991 1.785 7.497
Br 0.991 -1.785 10.344
Br 2.041 -0.034 7.497
Br 1.050 1.751 10.344
```

Output
SG = No. 148
Magnetic moment = 3.0 μB per cell
ΔE to the lowest computed polymorph = 0.0250 eV/atom

=====

| no. | raw formation energy (eV/atom) |
| --- | --- |
| 1 | 0.673 |
| 2 | 0.628 |
| 3 | 0.735 |
| 4 | 2.247 |
| 5 | -0.432 |
| 6 | 1.152 |
| 7 | 1.372 |
| 8 | -0.675 |
| 9 | 0.254 |
| 10 | 2.178 |
| 11 | 0.400 |
| 12 | 0.788 |
| 13 | 0.551 |
| 14 | -0.407 |